The following is a DFT calculation (PBE) of crystalline Hf2AgGe2 at its relaxed geometry.

Geometry as POSCAR:
```
Hf2AgGe2
1.0
8.073 0.000 0.000
0.000 8.073 0.000
0.000 0.000 3.045
Hf Ag Ge
4 2 4
Direct
0.137 0.363 0.000
0.363 0.863 0.000
0.637 0.137 0.000
0.863 0.637 0.000
0.000 0.000 0.000
0.500 0.500 0.000
0.161 0.661 0.500
0.339 0.161 0.500
0.661 0.839 0.500
0.839 0.339 0.500
```

Computed properties:
Energy relative to the elements   -161 meV per atom
ΔE to the lowest computed polymorph   242.9 meV per atom
Crystal system   tetragonal
Total moment   0.00 μB/f.u.
Space-group type   P4/mbm, No. 127
Fermi-level density of states   6.392 states/eV/cell